[1]
This record from Alexandria describes crystalline Cr2AgHgCl at its relaxed geometry. The functional is PBE.

Structure (POSCAR):
```
Cr2AgHgCl
1.0
4.585 0.000 0.000
0.000 4.585 0.000
0.000 0.000 5.853
Hg Cr Cl Ag
1 2 1 1
Direct
0.000 0.000 0.500
0.000 0.500 0.000
0.500 0.000 0.000
0.000 0.000 0.000
0.500 0.500 0.500
```

Output
**SG**: P4/mmm
**E_form (uncorrected)**: 0.7699 eV per atom
**E_tot**: -4.0794 eV per atom
**Mass density**: 6.04 g/cm³
**Fermi-level density of states**: 0.53 states/eV/atom



[2]
This record from Alexandria describes crystalline CrAgHgCl6 at its relaxed geometry. The functional is PBE.

Structure (POSCAR):
```
CrAgHgCl6
1.0
-4.632 -0.870 -4.580
2.894 -5.206 2.777
-8.232 -0.122 8.348
Cl Ag Hg Cr
12 2 2 2
Direct
0.375 0.335 0.368
0.375 0.040 0.132
0.040 0.375 0.632
0.625 0.665 0.632
0.960 0.625 0.368
0.960 0.335 0.132
0.335 0.960 0.632
0.665 0.625 0.132
0.335 0.375 0.868
0.625 0.960 0.868
0.040 0.665 0.868
0.665 0.040 0.368
0.000 0.000 0.500
0.000 0.000 0.000
0.333 0.667 0.250
0.667 0.333 0.750
0.667 0.333 0.250
0.333 0.667 0.750
```

Output
**SG**: P-31c
**E_form (uncorrected)**: -0.7537 eV per atom
**E_tot**: -3.4044 eV per atom
**Mass density**: 4.34 g/cm³



[3]
This record from Alexandria describes crystalline K3CrAg2Cl9 at its relaxed geometry. The functional is PBE.

Structure (POSCAR):
```
K3CrAg2Cl9
1.0
7.190 0.000 0.000
-3.595 6.227 0.000
0.000 0.000 8.845
K Cr Cl Ag
3 1 9 2
Direct
0.667 0.333 0.318
0.000 0.000 0.000
0.333 0.667 0.682
0.000 0.000 0.500
0.500 0.000 0.000
0.500 0.500 0.000
0.844 0.688 0.654
0.844 0.156 0.654
0.312 0.156 0.654
0.156 0.844 0.346
0.156 0.312 0.346
0.688 0.844 0.346
0.000 0.500 0.000
0.333 0.667 0.170
0.667 0.333 0.830
```

Output
**SG**: P-3m1
**E_form (uncorrected)**: -1.2034 eV per atom
**E_tot**: -3.5526 eV per atom
**Mass density**: 2.95 g/cm³
**Fermi-level density of states**: 0.77 states/eV/atom



[4]
This record from Alexandria describes crystalline K3Cr2AgCl9 at its relaxed geometry. The functional is PBE.

Structure (POSCAR):
```
K3Cr2AgCl9
1.0
-1.818 -2.119 -6.516
-2.410 -3.508 5.669
-7.024 5.240 0.256
K Cl Cr Ag
3 9 2 1
Direct
0.667 0.333 0.343
0.000 0.000 0.000
0.333 0.667 0.657
0.174 0.349 0.317
0.826 0.174 0.683
0.500 0.500 0.000
0.651 0.826 0.317
0.000 0.500 0.000
0.826 0.651 0.683
0.349 0.174 0.683
0.174 0.826 0.317
0.500 0.000 0.000
0.333 0.667 0.163
0.667 0.333 0.837
0.000 0.000 0.500
```

Output
**SG**: P-3m1
**E_form (uncorrected)**: -1.3289 eV per atom
**E_tot**: -4.1296 eV per atom
**Mass density**: 2.82 g/cm³
**Fermi-level density of states**: 0.21 states/eV/atom



[5]
This record from Alexandria describes crystalline KCrAgCl6 at its relaxed geometry. The functional is PBE.

Structure (POSCAR):
```
KCrAgCl6
1.0
6.759 0.000 0.000
0.000 6.626 0.000
0.000 -3.313 5.738
Cl Cr Ag K
6 1 1 1
Direct
0.701 0.296 0.017
0.299 0.721 0.017
0.299 0.296 0.279
0.299 0.983 0.704
0.701 0.721 0.704
0.701 0.983 0.279
0.500 0.000 0.000
0.500 0.667 0.333
0.000 0.333 0.667
```

Output
**SG**: P312
**E_form (uncorrected)**: -1.0417 eV per atom
**E_tot**: -3.7808 eV per atom
**Mass density**: 2.66 g/cm³
**Fermi-level density of states**: 0.73 states/eV/atom



[6]
This record from Alexandria describes crystalline LiCrAgCl6 at its relaxed geometry. The functional is PBE.

Structure (POSCAR):
```
LiCrAgCl6
1.0
-4.581 -4.188 -0.852
4.648 0.451 -4.176
6.048 -7.813 5.886
Cr Cl Li Ag
2 12 2 2
Direct
0.667 0.333 0.250
0.333 0.667 0.750
0.348 0.976 0.633
0.348 0.372 0.867
0.652 0.628 0.133
0.372 0.348 0.367
0.976 0.628 0.367
0.024 0.652 0.867
0.628 0.652 0.633
0.628 0.976 0.867
0.976 0.348 0.133
0.372 0.024 0.133
0.024 0.372 0.633
0.652 0.024 0.367
0.333 0.667 0.250
0.667 0.333 0.750
0.000 0.000 0.000
0.000 0.000 0.500
```

Output
**SG**: P-31c
**E_form (uncorrected)**: -0.9768 eV per atom
**E_tot**: -3.8066 eV per atom
**Mass density**: 3.22 g/cm³
**Fermi-level density of states**: 0.78 states/eV/atom



[7]
This record from Alexandria describes crystalline Li2CrAgCl6 at its relaxed geometry. The functional is PBE.

Structure (POSCAR):
```
Li2CrAgCl6
1.0
-6.063 -0.712 1.885
-1.346 -3.479 5.188
-1.995 3.402 5.700
Li Cl Cr Ag
2 6 1 1
Direct
0.004 0.004 0.989
0.520 0.520 0.440
0.948 0.571 0.236
0.127 0.390 0.768
0.571 0.244 0.237
0.244 0.949 0.237
0.715 0.127 0.768
0.389 0.715 0.768
0.329 0.329 0.013
0.813 0.813 0.560
```

Output
**SG**: R3
**E_form (uncorrected)**: -1.2351 eV per atom
**E_tot**: -3.9733 eV per atom
**Mass density**: 3.09 g/cm³



[8]
This record from Alexandria describes crystalline MgCrAgCl2 at its relaxed geometry. The functional is PBE.

Structure (POSCAR):
```
MgCrAgCl2
1.0
4.417 0.000 0.000
0.000 5.696 0.000
0.000 0.000 4.417
Mg Ag Cl Cr
1 1 2 1
Direct
0.500 0.500 0.500
0.000 0.500 0.000
0.000 0.000 0.500
0.500 0.000 0.000
0.000 0.000 0.000
```

Output
**SG**: P4/mmm
**E_form (uncorrected)**: 0.0840 eV per atom
**E_tot**: -3.4685 eV per atom
**Mass density**: 3.81 g/cm³
**Fermi-level density of states**: 0.99 states/eV/atom



[9]
This record from Alexandria describes crystalline MnCrAgCl6 at its relaxed geometry. The functional is PBE.

Structure (POSCAR):
```
MnCrAgCl6
1.0
-2.230 -5.029 3.116
5.678 -0.259 -2.769
5.096 3.986 10.080
Cl Mn Cr Ag
12 2 2 2
Direct
0.981 0.350 0.136
0.350 0.369 0.864
0.631 0.650 0.636
0.981 0.631 0.364
0.631 0.981 0.864
0.369 0.350 0.364
0.019 0.650 0.864
0.650 0.019 0.364
0.369 0.019 0.136
0.650 0.631 0.136
0.350 0.981 0.636
0.019 0.369 0.636
0.333 0.667 0.250
0.667 0.333 0.750
0.667 0.333 0.250
0.333 0.667 0.750
0.000 0.000 0.000
0.000 0.000 0.500
```

Output
**SG**: P-31c
**E_form (uncorrected)**: -0.9409 eV per atom
**E_tot**: -4.5769 eV per atom
**Mass density**: 3.42 g/cm³



[10]
This record from Alexandria describes crystalline MnCr2AgCl at its relaxed geometry. The functional is PBE.

Structure (POSCAR):
```
MnCr2AgCl
1.0
4.315 0.000 0.000
0.000 4.907 0.000
0.000 0.000 4.315
Cr Mn Ag Cl
2 1 1 1
Direct
0.500 0.000 0.000
0.000 0.000 0.500
0.500 0.500 0.500
0.000 0.500 0.000
0.000 0.000 0.000
```

Output
**SG**: P4/mmm
**E_form (uncorrected)**: 1.0791 eV per atom
**E_tot**: -5.5438 eV per atom
**Mass density**: 5.49 g/cm³
**Fermi-level density of states**: 0.79 states/eV/atom



[11]
This record from Alexandria describes crystalline MnCrAgCl2 at its relaxed geometry. The functional is PBE.

Structure (POSCAR):
```
MnCrAgCl2
1.0
4.567 0.000 0.000
0.000 6.572 0.000
0.000 0.000 4.567
Cl Ag Cr Mn
2 1 1 1
Direct
0.000 0.000 0.500
0.500 0.000 0.000
0.500 0.500 0.500
0.000 0.500 0.000
0.000 0.000 0.000
```

Output
**SG**: P4/mmm
**E_form (uncorrected)**: 0.3598 eV per atom
**E_tot**: -4.7077 eV per atom
**Mass density**: 3.46 g/cm³
**Fermi-level density of states**: 0.80 states/eV/atom



[12]
This record from Alexandria describes crystalline NaCrAgCl6 at its relaxed geometry. The functional is PBE.

Structure (POSCAR):
```
NaCrAgCl6
1.0
6.020 0.000 0.000
0.000 6.541 0.000
0.000 -3.270 5.664
Cr Na Cl Ag
1 1 6 1
Direct
0.500 0.000 0.000
0.000 0.333 0.667
0.725 0.713 0.703
0.275 0.713 0.010
0.725 0.297 0.010
0.275 0.297 0.287
0.275 0.990 0.703
0.725 0.990 0.287
0.500 0.667 0.333
```

Output
**SG**: P312
**E_form (uncorrected)**: -0.9839 eV per atom
**E_tot**: -3.7476 eV per atom
**Mass density**: 2.95 g/cm³
**Fermi-level density of states**: 0.60 states/eV/atom